{"formula": "Sc2Ti2Fe", "functional": "PBE-GGA", "state": "relaxed", "e_form_ev_per_atom": 0.44, "e_above_lowest_polymorph_mev_per_atom": 431, "cell": [[-1.029, 2.030, 2.458], [-2.839, 0.591, -1.677], [-5.693, -5.422, 4.378]], "species": ["Sc", "Sc", "Ti", "Ti", "Fe"], "frac_coords": [[0.416, 0.416, 0.168], [0.584, 0.584, 0.832], [0.250, 0.750, 0.500], [0.750, 0.250, 0.500], [0.000, 0.000, 0.000]]}